# CdReBr2 PBE optimized geometry
# **Mass density**: 6.88 g/cm³
# **SG**: Immm, No. 71
# **Excess energy over the best structure of this formula in the dataset**: 71 meV per atom
# **Magnetization**: 0.20 μB/atom
# **Raw formation energy**: 0.326 eV/atom
# **Uncorrected energy**: -0.2830 Ry/atom
data_CdReBr2
_chemical_formula_sum 'Cd1 Re1 Br2'
_symmetry_space_group_name_H-M 'P 1'
_symmetry_Int_Tables_number 1
_cell_length_a 7.7234
_cell_length_b 7.7234
_cell_length_c 7.7234
_cell_angle_alpha 156.71
_cell_angle_beta 142.46
_cell_angle_gamma 44.64
loop_
_symmetry_equiv_pos_as_xyz
'x,y,z'
loop_
_atom_site_label
_atom_site_type_symbol
_atom_site_fract_x
_atom_site_fract_y
_atom_site_fract_z
Cd1 Cd 0.0000 0.0000 0.0000
Re1 Re 0.5000 0.5000 0.0000
Br1 Br 0.3554 0.8554 0.5000
Br2 Br 0.6446 0.1446 0.5000